VASP calculation (PBE+U) on an optimized crystal structure of MnCdO3.

a b c (Å): 5.7392 5.7392 5.6549
angles (deg): 90.00 90.00 140.27
Sites, in units of the cell vectors:
Mn 0.0085 0.9915 0.7500
Mn 0.9915 0.0085 0.2500
Cd 0.2965 0.7035 0.7500
Cd 0.7035 0.2965 0.2500
O 0.1276 0.8724 0.0056
O 0.1276 0.8724 0.4944
O 0.4978 0.5022 0.2500
O 0.5022 0.4978 0.7500
O 0.8724 0.1276 0.5056
O 0.8724 0.1276 0.9944

Values from the calculation:
- Space group: No. 63
- E: -5.73 eV/atom